# LiFePO4 (PBE+U, optimized geometry)
# Fermi-level density of states	0.0	states/eV per cell
# magnetization	0.5715	μB/atom
# total energy	-189.8	eV/cell
# E above lowest polymorph	0.390	eV/f.u.
data_LiFePO4
_cell_length_a 5.968
_cell_length_b 6.649
_cell_length_c 9.556
_cell_angle_alpha 71.41
_cell_angle_beta 82.20
_cell_angle_gamma 79.55
_symmetry_space_group_name_H-M 'P 1'
_symmetry_Int_Tables_number 1
_symmetry_space_group_name_Hall 'P 1'
loop_
_atom_site_label
_atom_site_type_symbol
_atom_site_fract_x
_atom_site_fract_y
_atom_site_fract_z
Li1 Li 0.053 0.314 0.181
Li2 Li 0.103 0.802 0.219
Li3 Li 0.897 0.198 0.781
Li4 Li 0.947 0.686 0.819
Fe1 Fe 0.296 0.644 0.566
Fe2 Fe 0.486 0.932 0.785
Fe3 Fe 0.514 0.068 0.215
Fe4 Fe 0.704 0.356 0.434
P1 P 0.212 0.181 0.510
P2 P 0.332 0.284 0.885
P3 P 0.668 0.716 0.115
P4 P 0.788 0.819 0.490
O1 O 0.036 0.742 0.435
O2 O 0.185 0.123 0.869
O3 O 0.222 0.180 0.348
O4 O 0.238 0.519 0.796
O5 O 0.291 0.951 0.615
O6 O 0.322 0.277 0.051
O7 O 0.371 0.336 0.523
O8 O 0.422 0.788 0.175
O9 O 0.578 0.212 0.825
O10 O 0.629 0.664 0.477
O11 O 0.678 0.723 0.949
O12 O 0.709 0.049 0.385
O13 O 0.762 0.481 0.204
O14 O 0.778 0.820 0.652
O15 O 0.815 0.877 0.131
O16 O 0.964 0.258 0.565